Below is crystalline NpTiV2 at its relaxed geometry, with properties calculated at the PBE-GGA level.

Lattice parameters (Å, degrees): 3.172 3.172 6.290 90.00 90.00 90.00
Space group P4/mmm (No. 123)
One atom of each set of equivalent atoms:
Np  0.000  0.000  0.000 [1 per cell]
Ti  0.000  0.000  0.500 [1 per cell]
V  0.500  0.500  0.232 [2 per cell]

Summary:
total energy = -9.524 eV/atom
ΔE to the lowest computed polymorph = 0 meV per atom
calculated formation energy = 0.244 eV/atom
spin magnetization = 1.7 μB/cell
N(E_F) = 1.6245 states/eV/atom



Below is crystalline NpTiZn at its relaxed geometry, with properties calculated at the PBE-GGA level.

Lattice parameters (Å, degrees): 6.454 3.269 11.191 90.00 105.19 90.00
Space group C2/m (No. 12)
One atom of each set of equivalent atoms:
Np  0.131  0.000  0.440 [4 per cell]
Ti  0.241  0.000  0.753 [4 per cell]
Zn  0.122  0.500  0.925 [4 per cell]

Summary:
total energy = -7.088 eV/atom
calculated formation energy = 0.282 eV/atom
spin magnetization = 0.0 μB/cell
N(E_F) = 1.4297 states/eV/atom



Below is crystalline ZrNpTiZn at its relaxed geometry, with properties calculated at the PBE-GGA level.

Lattice parameters (Å, degrees): 6.772 6.772 6.772 90.00 90.00 90.00
Space group F-43m (No. 216)
One atom of each set of equivalent atoms:
Zr  0.000  0.000  0.000 [4 per cell]
Np  0.250  0.250  0.750 [4 per cell]
Ti  0.000  0.000  0.500 [4 per cell]
Zn  0.250  0.250  0.250 [4 per cell]

Summary:
total energy = -7.363 eV/atom
calculated formation energy = 0.302 eV/atom
spin magnetization = 20.1 μB/cell
N(E_F) = 2.9288 states/eV/atom



Below is crystalline ZrNpTi at its relaxed geometry, with properties calculated at the PBE-GGA level.

Lattice parameters (Å, degrees): 2.923 2.923 29.463 90.00 90.00 90.00
Space group I4/mmm (No. 139)
One atom of each set of equivalent atoms:
Zr  0.000  0.000  0.053 [4 per cell]
Np  0.000  0.000  0.363 [4 per cell]
Ti  0.000  0.000  0.217 [4 per cell]

Summary:
total energy = -9.430 eV/atom
calculated formation energy = 0.364 eV/atom
spin magnetization = 13.4 μB/cell
N(E_F) = 2.1422 states/eV/atom



Below is crystalline NpTl3 at its relaxed geometry, with properties calculated at the PBE-GGA level.

Lattice parameters (Å, degrees): 4.750 4.750 9.879 90.00 90.00 90.00
Space group I4/mmm (No. 139)
One atom of each set of equivalent atoms:
Np  0.000  0.000  0.000 [2 per cell]
Tl  0.000  0.000  0.500 [2 per cell]
Tl  0.000  0.500  0.250 [4 per cell]

Summary:
total energy = -4.704 eV/atom
calculated formation energy = 0.306 eV/atom
spin magnetization = 9.4 μB/cell
N(E_F) = 3.5588 states/eV/atom



Below is crystalline NpTl6 at its relaxed geometry, with properties calculated at the PBE-GGA level.

Lattice parameters (Å, degrees): 8.369 8.369 8.369 90.00 90.00 90.00
Space group Im-3m (No. 229)
One atom of each set of equivalent atoms:
Np  0.000  0.000  0.000 [2 per cell]
Tl  0.000  0.250  0.500 [12 per cell]

Summary:
total energy = -3.109 eV/atom
calculated formation energy = 0.768 eV/atom
spin magnetization = 10.5 μB/cell
N(E_F) = 2.6727 states/eV/atom



What is the formula in the third record?
ZrNpTiZn



What is the spin magnetization in the fourth record?
13.4 μB/cell



The highest N(E_F) belongs to which entry?
NpTl3